A relaxed structure of ScRu3O, computed with PBE.

The total DFT energy (no corrections) comes out at -28.37 eV/f.u. The crystal system is cubic. The calculation puts the density of states at the Fermi level at 5.12 states/eV per cell. Its energy relative to the elements, uncorrected is 2.15 eV/atom.

The structure belongs to space group Pm-3m (No. 221); the cell edges are 4.6879, 4.6879 and 4.6879 Å and the angles 90.00°, 90.00° and 90.00°. The asymmetric unit holds Sc at (0.0000, 0.0000, 0.0000), Ru at (0.0000, 0.0000, 0.5000) and O at (0.5000, 0.5000, 0.5000).



A relaxed structure of SmSc2RuO8, computed with PBE.

The total DFT energy (no corrections) comes out at -94.43 eV/f.u. The crystal system is monoclinic. The calculation puts the density of states at the Fermi level at 3.71 states/eV per cell. Its energy relative to the elements, uncorrected is -2.34 eV/atom.

The structure belongs to space group P2/m (No. 10); the cell edges are 4.8828, 6.5777 and 4.8936 Å and the angles 90.00°, 90.81° and 90.00°. The asymmetric unit holds Sm at (0.0000, 0.0000, 0.0000), Sc at (0.5000, 0.2432, 0.5000), Ru at (0.0000, 0.5000, 0.0000), O at (0.1970, 0.2921, 0.1948), O at (0.2749, 0.5000, 0.7234) and O at (0.3196, 0.0000, 0.6774).



A relaxed structure of SmScRuO6, computed with PBE.

The total DFT energy (no corrections) comes out at -70.41 eV/f.u. The crystal system is trigonal. The calculation puts the density of states at the Fermi level at 9.22 states/eV per cell. Its energy relative to the elements, uncorrected is -2.26 eV/atom.

The structure belongs to space group P-31c (No. 163); the cell edges are 5.2985, 5.2985 and 9.9649 Å and the angles 90.00°, 90.00° and 120.00°. The asymmetric unit holds Sm at (0.0000, 0.0000, 0.0000), Sc at (0.3333, 0.6667, 0.2500), Ru at (0.3333, 0.6667, 0.7500) and O at (0.0233, 0.3701, 0.6404).



A relaxed structure of Sr3ScRu2O9, computed with PBE.

The total DFT energy (no corrections) comes out at -107.89 eV/f.u. The crystal system is trigonal. The calculation puts the density of states at the Fermi level at 9.05 states/eV per cell. Its energy relative to the elements, uncorrected is -2.22 eV/atom.

The structure belongs to space group P-3m1 (No. 164); the cell edges are 5.6769, 5.6769 and 6.9581 Å and the angles 90.00°, 90.00° and 120.00°. The asymmetric unit holds Sr at (0.0000, 0.0000, 0.0000), Sr at (0.3333, 0.6667, 0.6668), Sc at (0.0000, 0.0000, 0.5000), Ru at (0.3333, 0.6667, 0.1656), O at (0.0000, 0.5000, 0.0000) and O at (0.1711, 0.3421, 0.3272).



A relaxed structure of SrScRuO6, computed with PBE.

The total DFT energy (no corrections) comes out at -64.72 eV/f.u. The crystal system is trigonal. The calculation puts the density of states at the Fermi level at 3.93 states/eV per cell. Its energy relative to the elements, uncorrected is -1.97 eV/atom.

The structure belongs to space group P312 (No. 149); the cell edges are 5.3333, 5.3333 and 5.3533 Å and the angles 90.00°, 90.00° and 120.00°. The asymmetric unit holds Sr at (0.0000, 0.0000, 0.0000), Sc at (0.3333, 0.6667, 0.5000), Ru at (0.6667, 0.3333, 0.5000) and O at (0.3851, 0.0264, 0.7030).



A relaxed structure of TbSc2RuO8, computed with PBE.

The total DFT energy (no corrections) comes out at -94.73 eV/f.u. The crystal system is monoclinic. The calculation puts the density of states at the Fermi level at 3.36 states/eV per cell. Its energy relative to the elements, uncorrected is -2.37 eV/atom.

The structure belongs to space group P2/m (No. 10); the cell edges are 4.8659, 6.5098 and 4.8757 Å and the angles 90.00°, 90.25° and 90.00°. The asymmetric unit holds Tb at (0.0000, 0.0000, 0.0000), Sc at (0.5000, 0.2433, 0.5000), Ru at (0.0000, 0.5000, 0.0000), O at (0.1950, 0.2886, 0.1935), O at (0.2772, 0.5000, 0.7218) and O at (0.3167, 0.0000, 0.6819).



A relaxed structure of ScTeRuO2, computed with PBE.

The total DFT energy (no corrections) comes out at -32.19 eV/f.u. The crystal system is tetragonal. The calculation puts the density of states at the Fermi level at 8.94 states/eV per cell. Its energy relative to the elements, uncorrected is -0.71 eV/atom.

The structure belongs to space group P4/mmm (No. 123); the cell edges are 3.9510, 3.9510 and 6.4302 Å and the angles 90.00°, 90.00° and 90.00°. The asymmetric unit holds Sc at (0.0000, 0.0000, 0.0000), Te at (0.0000, 0.0000, 0.5000), Ru at (0.5000, 0.5000, 0.5000) and O at (0.0000, 0.5000, 0.0000).



A relaxed structure of ScTiRuO6, computed with PBE.

The total DFT energy (no corrections) comes out at -73.76 eV/f.u. The crystal system is trigonal. The calculation puts the density of states at the Fermi level at 0.32 states/eV per cell. Its energy relative to the elements, uncorrected is -2.28 eV/atom.

The structure belongs to space group P-31c (No. 163); the cell edges are 5.0654, 5.0654 and 9.2709 Å and the angles 90.00°, 90.00° and 120.00°. The asymmetric unit holds Sc at (0.0000, 0.0000, 0.0000), Ti at (0.3333, 0.6667, 0.2500), Ru at (0.3333, 0.6667, 0.7500) and O at (0.0004, 0.3463, 0.1341).



A relaxed structure of ScTlRuO6, computed with PBE.

The total DFT energy (no corrections) comes out at -60.57 eV/f.u. The crystal system is trigonal. The calculation puts the density of states at the Fermi level at 4.91 states/eV per cell. Its energy relative to the elements, uncorrected is -1.43 eV/atom.

The structure belongs to space group P312 (No. 149); the cell edges are 5.3190, 5.3190 and 4.7336 Å and the angles 90.00°, 90.00° and 120.00°. The asymmetric unit holds Sc at (0.0000, 0.0000, 0.0000), Tl at (0.6667, 0.3333, 0.5000), Ru at (0.3333, 0.6667, 0.0000) and O at (0.0436, 0.3554, 0.2299).



A relaxed structure of YSc2RuO8, computed with PBE.

The total DFT energy (no corrections) comes out at -96.54 eV/f.u. The crystal system is monoclinic. The calculation puts the density of states at the Fermi level at 3.25 states/eV per cell. Its energy relative to the elements, uncorrected is -2.37 eV/atom.

The structure belongs to space group P2/m (No. 10); the cell edges are 4.8608, 6.5024 and 4.8715 Å and the angles 90.00°, 90.11° and 90.00°. The asymmetric unit holds Y at (0.0000, 0.0000, 0.0000), Sc at (0.5000, 0.2433, 0.5000), Ru at (0.0000, 0.5000, 0.0000), O at (0.1954, 0.2882, 0.1930), O at (0.2771, 0.5000, 0.7209) and O at (0.3152, 0.0000, 0.6821).



A relaxed structure of ZrSc2RuO, computed with PBE.

The total DFT energy (no corrections) comes out at -41.84 eV/f.u. The crystal system is tetragonal. The calculation puts the density of states at the Fermi level at 4.24 states/eV per cell. Its energy relative to the elements, uncorrected is -1.28 eV/atom.

The structure belongs to space group P4/mmm (No. 123); the cell edges are 4.2402, 4.2402 and 4.5849 Å and the angles 90.00°, 90.00° and 90.00°. The asymmetric unit holds Zr at (0.0000, 0.0000, 0.0000), Sc at (0.0000, 0.5000, 0.5000), Ru at (0.5000, 0.5000, 0.0000) and O at (0.0000, 0.0000, 0.5000).



A relaxed structure of RuSeO, computed with PBE.

The total DFT energy (no corrections) comes out at -19.15 eV/f.u. The crystal system is monoclinic. The calculation puts the density of states at the Fermi level at 9.24 states/eV per cell. Its energy relative to the elements, uncorrected is -0.48 eV/atom.

The structure belongs to space group P2_1/c (No. 14); the cell edges are 5.7129, 4.8070 and 6.5313 Å and the angles 90.00°, 93.40° and 90.00°. The asymmetric unit holds Ru at (0.2118, 0.0319, 0.3494), Se at (0.4169, 0.7069, 0.5923) and O at (0.0799, 0.1958, 0.6316).